# 1
This record from the Alexandria database describes a geometry-optimized ScNiAg2 structure. The functional is PBE.

Summary:
* V: 71.1 Å³/f.u.
* crystal system: trigonal
* energy relative to the elements: 0.030 eV/atom

Cell and atoms, written as POSCAR:
```
ScNiAg2
1.0
1.5474 0.8934 8.5727
-1.5474 0.8934 8.5727
0.0000 -1.7867 8.5727
Sc Ni Ag
1 1 2
Direct
0.0000 0.0000 0.0000
0.2643 0.2643 0.2643
0.5176 0.5176 0.5176
0.7603 0.7603 0.7603
```

=====

# 2
This record from the Alexandria database describes a geometry-optimized BeFe2As structure. The functional is PBE.

Summary:
* E above lowest polymorph: 132 meV/atom
* V: 44.5 Å³/f.u.
* crystal system: monoclinic
* energy relative to the elements: 0.015 eV/atom

Cell and atoms, written as POSCAR:
```
BeFe2As
1.0
4.1250 -1.4290 0.0000
4.1250 1.4290 0.0000
-1.1301 0.0000 3.7748
Be Fe As
1 2 1
Direct
0.0000 0.0000 0.0000
0.5030 0.5030 0.4883
0.7357 0.7357 0.1309
0.2476 0.2476 0.6522
```

=====

# 3
This record from the Alexandria database describes a geometry-optimized DyTm2Zn structure. The functional is PBE.

Summary:
* E above lowest polymorph: 0 meV/atom
* V: 105.9 Å³/f.u.
* crystal system: tetragonal
* energy relative to the elements: -0.166 eV/atom

Cell and atoms, written as POSCAR:
```
DyTm2Zn
1.0
3.5212 0.0000 0.0000
0.0000 3.5212 0.0000
0.0000 0.0000 8.5379
Dy Tm Zn
1 2 1
Direct
0.0000 0.0000 0.0000
0.5000 0.5000 0.2948
0.5000 0.5000 0.7052
0.0000 0.0000 0.5000
```

=====

# 4
This record from the Alexandria database describes a geometry-optimized LaPuThIn structure. The functional is PBE.

Summary:
* V: 119.0 Å³/f.u.
* crystal system: cubic
* energy relative to the elements: 0.063 eV/atom

Cell and atoms, written as POSCAR:
```
LaPuThIn
1.0
0.0000 3.9042 3.9042
3.9042 0.0000 3.9042
3.9042 3.9042 0.0000
La Pu Th In
1 1 1 1
Direct
0.0000 0.0000 0.0000
0.5000 0.5000 0.5000
0.2500 0.2500 0.2500
0.7500 0.7500 0.7500
```

=====

- energy relative to the elements of number 3 (DyTm2Zn)?
  -0.166 eV/atom

=====

- The lowest energy relative to the elements belongs to which entry?
  DyTm2Zn

=====

- Which value of V does entry 3 give?
  105.9 Å³/f.u.

=====

- Which of these has the lowest V?
  BeFe2As